[1]
The following is a GGA-PBE calculation of a relaxed structure of WAu2, from Alexandria via LeMat-Bulk.

Lattice parameters (Å, degrees): 7.913 7.913 4.792 90.00 90.00 159.86
Positions (direct):
1 W 0.217 0.783 0.750
2 W 0.783 0.217 0.250
3 Au 0.881 0.119 0.750
4 Au 0.119 0.881 0.250
5 Au 0.445 0.555 0.250
6 Au 0.555 0.445 0.750

Properties
Size of the total moment = 0.00 Bohr magnetons per cell
Energy relative to the elements = 82 kJ/mol of formula units
Calculated volume = 52 Å³/f.u.
N(E_F) = 0.54 states/eV/atom

***

[2]
The following is a GGA-PBE calculation of a relaxed structure of Ca2NbH, from Alexandria via LeMat-Bulk.

Lattice parameters (Å, degrees): 6.776 6.776 6.145 56.54 56.54 90.00
Positions (direct):
1 H 0.500 0.500 0.000
2 H 0.250 0.750 0.500
3 Nb 0.000 0.000 0.000
4 Nb 0.750 0.250 0.500
5 Ca 0.501 0.125 0.250
6 Ca 0.249 0.625 0.250
7 Ca 0.375 0.499 0.750
8 Ca 0.875 0.751 0.750

Properties
Size of the total moment = 0.04 Bohr magnetons per cell
Calculated volume = 88 Å³/f.u.
N(E_F) = 1.29 states/eV/atom
Relative energy among the computed polymorphs = 47 meV per atom

***

[3]
The following is a GGA-PBE calculation of a relaxed structure of UPt2, from Alexandria via LeMat-Bulk.

Lattice parameters (Å, degrees): 4.522 3.563 7.455 103.83 90.00 90.00
Site moments in Bohr magnetons follow the coordinates.
Positions (direct):
1 U 0.750 0.105 0.210  1.74
2 U 0.250 0.895 0.790  1.74
3 Pt 0.250 0.564 0.128  -0.08
4 Pt 0.750 0.436 0.872  -0.08
5 Pt 0.750 0.761 0.522  -0.05
6 Pt 0.250 0.239 0.478  -0.05

Properties
Size of the total moment = 3.52 Bohr magnetons per cell
Energy relative to the elements = -181 kJ/mol of formula units
Calculated volume = 58 Å³/f.u.
N(E_F) = 1.88 states/eV/atom

***

[4]
The following is a GGA-PBE calculation of a relaxed structure of SbPbCl2, from Alexandria via LeMat-Bulk.

Lattice parameters (Å, degrees): 10.573 10.573 10.573 19.65 19.65 19.65
Positions (direct):
1 Pb 0.506 0.506 0.506
2 Sb 0.744 0.744 0.744
3 Cl 0.014 0.014 0.014
4 Cl 0.236 0.236 0.236

Properties
Size of the total moment = 0.00 Bohr magnetons per cell
Formation energy (no corrections) = -1.2 eV/f.u.
Calculated volume = 117 Å³/f.u.
N(E_F) = 0.34 states/eV/atom
Relative energy among the computed polymorphs = 242 meV per atom

***

[5]
The following is a GGA-PBE calculation of a relaxed structure of Tb2Tm3In2, from Alexandria via LeMat-Bulk.

Lattice parameters (Å, degrees): 3.262 5.456 11.178 104.14 90.00 90.00
Positions (direct):
1 Tb 0.000 0.424 0.848
2 Tb 0.000 0.576 0.152
3 Tm 0.000 0.283 0.566
4 Tm 0.000 0.000 0.000
5 Tm 0.000 0.717 0.434
6 In 0.500 0.146 0.292
7 In 0.500 0.854 0.708

Properties
Size of the total moment = 0.00 Bohr magnetons per cell
Energy relative to the elements = 3 kJ/mol of formula units
Calculated volume = 193 Å³/f.u.
N(E_F) = 1.17 states/eV/atom
Relative energy among the computed polymorphs = 278 meV per atom

***

[6]
The following is a GGA-PBE calculation of a relaxed structure of Ba2ZrOs, from Alexandria via LeMat-Bulk.

Lattice parameters (Å, degrees): 6.911 6.911 6.911 148.05 128.20 62.17
Positions (direct):
1 Ba 0.992 0.992 0.000
2 Ba 0.301 0.801 0.500
3 Os 0.534 0.534 0.000
4 Zr 0.673 0.173 0.500

Properties
Size of the total moment = 0.00 Bohr magnetons per cell
Energy relative to the elements = 144 kJ/mol of formula units
Calculated volume = 136 Å³/f.u.
N(E_F) = 1.18 states/eV/atom
Relative energy among the computed polymorphs = 169 meV per atom

***

[7]
The following is a GGA-PBE calculation of a relaxed structure of Hf2NiBiSe, from Alexandria via LeMat-Bulk.

Lattice parameters (Å, degrees): 4.997 4.694 4.997 90.00 90.00 90.00
Positions (direct):
1 Ni 0.000 0.000 0.000
2 Hf 0.000 0.000 0.500
3 Hf 0.500 0.000 0.000
4 Bi 0.000 0.500 0.000
5 Se 0.500 0.500 0.500

Properties
Size of the total moment = 0.00 Bohr magnetons per cell
Formation energy (no corrections) = 1.5 eV/f.u.
Calculated volume = 117 Å³/f.u.
N(E_F) = 1.37 states/eV/atom

***

[8]
The following is a GGA-PBE calculation of a relaxed structure of Ac7Sm5, from Alexandria via LeMat-Bulk.

Lattice parameters (Å, degrees): 3.877 10.196 13.025 73.86 81.44 79.04
Positions (direct):
1 Ac 0.642 0.972 0.744
2 Ac 0.358 0.028 0.256
3 Ac 0.028 0.695 0.248
4 Ac 0.972 0.305 0.752
5 Ac 0.332 0.330 0.006
6 Ac 0.500 0.500 0.500
7 Ac 0.668 0.670 0.994
8 Sm 0.831 0.832 0.507
9 Sm 0.169 0.168 0.493
10 Sm 0.692 0.361 0.255
11 Sm 0.308 0.639 0.745
12 Sm 0.000 0.000 0.000

Properties
Size of the total moment = 0.00 Bohr magnetons per cell
Energy relative to the elements = 48 kJ/mol of formula units
Calculated volume = 483 Å³/f.u.
N(E_F) = 1.55 states/eV/atom

***

[9]
The following is a GGA-PBE calculation of a relaxed structure of SrRe2Tc, from Alexandria via LeMat-Bulk.

Lattice parameters (Å, degrees): 7.627 7.627 6.099 51.30 51.30 90.00
Positions (direct):
1 Re 0.689 0.125 0.250
2 Re 0.061 0.625 0.250
3 Re 0.375 0.311 0.750
4 Re 0.875 0.939 0.750
5 Tc 0.000 0.000 0.000
6 Tc 0.750 0.250 0.500
7 Sr 0.500 0.500 0.000
8 Sr 0.250 0.750 0.500

Properties
Size of the total moment = 0.00 Bohr magnetons per cell
Energy relative to the elements = 464 kJ/mol of formula units
Calculated volume = 83 Å³/f.u.
N(E_F) = 1.14 states/eV/atom
Relative energy among the computed polymorphs = 554 meV per atom

***

[10]
The following is a GGA-PBE calculation of a relaxed structure of Al5VOs6, from Alexandria via LeMat-Bulk.

Lattice parameters (Å, degrees): 4.258 6.070 6.722 90.00 71.54 90.00
Positions (direct):
1 Os 0.834 0.750 0.332
2 Os 0.834 0.250 0.332
3 Os 0.500 0.250 0.000
4 Os 0.500 0.750 0.000
5 Os 0.166 0.750 0.668
6 Os 0.166 0.250 0.668
7 Al 0.667 0.500 0.667
8 Al 0.333 0.000 0.334
9 Al 0.000 0.500 0.000
10 Al 0.667 0.000 0.666
11 Al 0.333 0.500 0.333
12 V 0.000 0.000 0.000

Properties
Size of the total moment = 0.00 Bohr magnetons per cell
Energy relative to the elements = -490 kJ/mol of formula units
Calculated volume = 165 Å³/f.u.
N(E_F) = 0.73 states/eV/atom

***

[11]
The following is a GGA-PBE calculation of a relaxed structure of MgFe3H, from Alexandria via LeMat-Bulk.

Lattice parameters (Å, degrees): 4.602 4.602 4.602 90.00 90.00 90.00
Site moments in Bohr magnetons follow the coordinates.
Positions (direct):
1 H 0.500 0.500 0.500  0.04
2 Mg 0.000 0.000 0.000  -0.07
3 Fe 0.000 0.500 0.000  3.08
4 Fe 0.000 0.000 0.500  2.90
5 Fe 0.500 0.000 0.000  2.80

Properties
Size of the total moment = 8.82 Bohr magnetons per cell
Calculated volume = 97 Å³/f.u.
N(E_F) = 1.20 states/eV/atom
Relative energy among the computed polymorphs = 2061 meV per atom

***

[12]
The following is a GGA-PBE calculation of a relaxed structure of NaCe3GeS7, from Alexandria via LeMat-Bulk.

Lattice parameters (Å, degrees): 10.289 10.289 5.871 90.00 90.00 120.00
Site moments in Bohr magnetons follow the coordinates.
Positions (direct):
1 Na 0.000 0.000 0.019  0.00
2 Na 0.000 0.000 0.519  0.00
3 Ce 0.639 0.872 0.749  0.94
4 Ce 0.128 0.767 0.749  0.94
5 Ce 0.233 0.361 0.749  0.94
6 Ce 0.361 0.128 0.249  0.94
7 Ce 0.872 0.233 0.249  0.94
8 Ce 0.767 0.639 0.249  0.94
9 Ge 0.333 0.667 0.166  0.03
10 Ge 0.667 0.333 0.666  0.03
11 S 0.333 0.667 0.544  0.00
12 S 0.667 0.333 0.044  0.00
13 S 0.908 0.167 0.771  -0.02
14 S 0.833 0.741 0.771  -0.02
15 S 0.259 0.092 0.771  -0.02
16 S 0.092 0.833 0.271  -0.02
17 S 0.167 0.259 0.271  -0.02
18 S 0.741 0.908 0.271  -0.02
19 S 0.105 0.519 0.010  -0.01
20 S 0.481 0.586 0.010  -0.01
21 S 0.414 0.895 0.010  -0.01
22 S 0.895 0.481 0.510  -0.01
23 S 0.519 0.414 0.510  -0.01
24 S 0.586 0.105 0.510  -0.01

Properties
Size of the total moment = 6.04 Bohr magnetons per cell
Formation energy (no corrections) = -17.8 eV/f.u.
Calculated volume = 269 Å³/f.u.
N(E_F) = 1.79 states/eV/atom